[1]
Here is a relaxed Ba2Li4Mg5 crystal from Alexandria via LeMat-Bulk. Energies are from PBE-GGA.

Cell and atoms, written as POSCAR:
```
Ba2Li4Mg5
1.0
6.1072 0.0245 -0.9825
-2.9711 5.3359 -0.9825
-0.1080 -0.1845 10.1206
Mg Li Ba
5 4 2
Direct
0.0000 0.5000 0.0000
0.7500 0.2500 0.5000
0.5000 0.5000 0.0000
0.2500 0.7500 0.5000
0.5000 0.0000 0.0000
0.4702 0.7869 0.2571
0.5298 0.2131 0.7429
0.7869 0.4702 0.2571
0.2131 0.5298 0.7429
0.8689 0.8689 0.7378
0.1311 0.1311 0.2622
```

Results
The calculation puts the polymorph energy (0 for the lowest one) at 0 meV/atom. As for the symmetry: Fmmm, No. 69. The formation energy from the elements comes out at -3.6 meV per atom.


[2]
Here is a relaxed Tb4DyHo5 crystal from Alexandria via LeMat-Bulk. Energies are from PBE-GGA.

Cell and atoms, written as POSCAR:
```
Tb4DyHo5
1.0
-2.9368 -5.3170 1.2925
-1.3400 -4.4238 -6.3241
4.8669 -5.9281 1.5911
Ho Tb Dy
5 4 1
Direct
0.8026 0.3783 0.9179
0.7205 0.0821 0.3783
0.1810 0.9179 0.6217
0.6820 0.0000 0.0000
0.0988 0.6217 0.0821
0.4974 0.6076 0.3001
0.7976 0.6999 0.6076
0.4051 0.3924 0.6999
0.1050 0.3001 0.3924
0.2202 0.0000 0.0000
```

Results
The calculation puts the polymorph energy (0 for the lowest one) at 246 meV/atom. As for the symmetry: I4, No. 79. The formation energy from the elements comes out at 304.6 meV per atom.


[3]
Here is a relaxed SrLi2Fe crystal from Alexandria via LeMat-Bulk. Energies are from PBE-GGA.

Cell and atoms, written as POSCAR:
```
SrLi2Fe
1.0
-3.6377 3.8322 -3.1255
-6.0616 -0.9716 -0.0164
5.0372 1.1292 3.3225
Sr Li Fe
1 2 1
Direct
0.7500 0.2500 0.5000
0.4600 0.4600 0.0000
0.0400 0.0400 0.0000
0.2500 0.7500 0.5000
```

Results
The calculation puts the polymorph energy (0 for the lowest one) at 26 meV/atom. As for the symmetry: Immm, No. 71. The formation energy from the elements comes out at 456.2 meV per atom.


[4]
Here is a relaxed Cs2ScWCl6 crystal from Alexandria via LeMat-Bulk. Energies are from PBE-GGA.

Cell and atoms, written as POSCAR:
```
Cs2ScWCl6
1.0
-2.4479 5.0329 -4.5219
-2.5840 -5.1397 -4.3216
-6.9424 0.0554 -1.9044
Cl Cs W Sc
6 2 1 1
Direct
0.2454 0.2454 0.5092
0.7547 0.7547 0.0000
0.2453 0.2453 0.0000
0.7546 0.7546 0.4908
0.7547 0.2453 0.0000
0.2453 0.7547 0.0000
0.7500 0.2500 0.5000
0.2500 0.7500 0.5000
0.0000 0.0000 0.0000
0.5000 0.5000 0.0000
```

Results
The calculation puts the formation energy without anion corrections at -1280 meV per atom. As for the symmetry: Fm-3m, No. 225.


[5]
Here is a relaxed Tb2PmNdEr5 crystal from Alexandria via LeMat-Bulk. Energies are from PBE-GGA.

Cell and atoms, written as POSCAR:
```
Tb2PmNdEr5
1.0
-7.9078 -2.3349 -2.9239
3.1711 -0.5528 -8.1347
4.0842 -5.8232 6.6920
Tb Er Nd Pm
4 10 2 2
Direct
0.8841 0.6159 0.0000
0.1159 0.3841 0.0000
0.6159 0.1159 0.0000
0.3841 0.8841 0.0000
0.9289 0.4289 0.2680
0.0711 0.5711 0.7320
0.5000 0.5000 0.0000
0.0000 0.0000 0.0000
0.8392 0.9289 0.2680
0.3392 0.8392 0.2680
0.6608 0.1608 0.7320
0.1608 0.0711 0.7320
0.5711 0.6608 0.7320
0.4289 0.3392 0.2680
0.7500 0.2500 0.5000
0.2500 0.7500 0.5000
0.7500 0.7500 0.5000
0.2500 0.2500 0.5000
```

Results
As for the symmetry: I4/mcm, No. 140. The formation energy from the elements comes out at 273.8 meV per atom.


[6]
Here is a relaxed Tl3Te4Au4 crystal from Alexandria via LeMat-Bulk. Energies are from PBE-GGA.

Cell and atoms, written as POSCAR:
```
Tl3Te4Au4
1.0
-2.8616 2.5925 -1.9322
-5.9114 -8.3217 -2.3498
2.3496 3.3254 10.5384
Tl Au Te
3 4 4
Direct
0.0000 0.5000 0.0000
0.2676 0.2317 0.2678
0.7324 0.7683 0.7322
0.3547 0.6444 0.8555
0.7872 0.7862 0.2861
0.6453 0.3556 0.1445
0.2128 0.2138 0.7139
0.3575 0.0801 0.8571
0.9215 0.6431 0.4198
0.6425 0.9199 0.1429
0.0785 0.3569 0.5802
```

Results
The calculation puts the formation energy without anion corrections at -149 meV per atom. As for the symmetry: P-1, No. 2.


| no. | final energy (eV for the cell shown) | magnetic moment (Bohr magnetons per cell) |
| --- | --- | --- |
| 1 | -19.5 | 0.00 |
| 2 | -43.0 | 0.00 |
| 3 | -12.1 | 2.45 |
| 4 | -44.9 | 1.00 |
| 5 | -78.3 | 0.00 |
| 6 | -34.4 | 0.00 |